Entry from Alexandria: a geometry-optimized Zn8Cu2Au structure (PBE).

```
Zn8Cu2Au
1.0
-0.740 3.615 -2.047
3.034 -2.274 -5.111
-6.376 -2.978 1.505
Zn Cu Au
8 2 1
Cartesian
-4.290 1.724 -1.290 Zn
-0.661 -0.464 -2.116 Zn
-4.446 -3.302 -1.361 Zn
-2.565 0.784 -3.542 Zn
0.449 -1.651 -4.641 Zn
-5.662 -0.863 -0.962 Zn
-2.172 -1.784 -3.858 Zn
-1.679 2.231 -1.382 Zn
-0.064 0.822 -4.433 Cu
-3.292 -0.772 -1.680 Cu
-3.143 -4.274 -3.543 Au
```

## Properties
M_tot (μB/f.u.): 0.0
Crystal system: triclinic
Energy of formation from the pure elements (eV per atom): -0.0610
Space group: P1